Record 1
A geometry-optimized TiNbRu structure, computed with PBE-GGA.

## Properties
DFT formation energy, eV per atom: -0.324
DOS at the Fermi energy, states/eV/cell: 8.77

Unit cell a=3.118 b=13.489 c=4.588 alpha=90.00 beta=90.00 gamma=90.00
Element x y z (fractional)
Ti  0.500  0.757  0.750
Ru  0.000  0.084  0.250
Nb  0.500  0.917  0.250
Ru  0.500  0.416  0.750
Nb  0.000  0.417  0.250
Ti  0.000  0.257  0.750
Ru  0.000  0.916  0.750
Ti  0.000  0.743  0.250
Nb  0.000  0.583  0.750
Nb  0.500  0.083  0.750
Ru  0.500  0.584  0.250
Ti  0.500  0.243  0.250

***

Record 2
A geometry-optimized Ti2Nb2Ru3 structure, computed with PBE-GGA.

## Properties
DFT formation energy, eV per atom: -0.373
DOS at the Fermi energy, states/eV/cell: 5.46

Unit cell a=3.025 b=3.033 c=12.259 alpha=90.00 beta=82.91 gamma=90.00
Element x y z (fractional)
Ru  0.127  0.000  0.746
Ru  0.873  0.000  0.254
Nb  0.700  0.500  0.601
Nb  0.300  0.500  0.399
Ru  0.000  0.000  0.000
Ti  0.564  0.500  0.871
Ti  0.436  0.500  0.129

***

Record 3
A geometry-optimized TiNb2Ru2 structure, computed with PBE-GGA.

## Properties
DFT formation energy, eV per atom: -0.080
DOS at the Fermi energy, states/eV/cell: 14.59

Unit cell a=7.370 b=7.370 c=3.116 alpha=90.00 beta=90.00 gamma=90.00
Element x y z (fractional)
Nb  0.332  0.168  0.500
Ti  0.000  0.000  0.000
Nb  0.168  0.668  0.500
Ru  0.135  0.365  0.000
Nb  0.668  0.832  0.500
Ti  0.500  0.500  0.000
Nb  0.832  0.332  0.500
Ru  0.365  0.865  0.000
Ru  0.865  0.635  0.000
Ru  0.635  0.135  0.000

***

Record 4
A geometry-optimized Ti4Nb4Ru structure, computed with PBE-GGA.

## Properties
DFT formation energy, eV per atom: -0.147
DOS at the Fermi energy, states/eV/cell: 13.66

Unit cell a=4.473 b=7.324 c=5.406 alpha=82.76 beta=65.56 gamma=72.22
Element x y z (fractional)
Ti  0.153  0.500  0.695
Ti  0.825  0.850  0.000
Nb  0.508  0.821  0.662
Ti  0.847  0.500  0.305
Nb  0.492  0.179  0.338
Ru  0.500  0.500  0.000
Ti  0.175  0.150  0.000
Nb  0.830  0.179  0.662
Nb  0.170  0.821  0.338

***

Record 5
A geometry-optimized TiNb2Ru structure, computed with PBE-GGA.

## Properties
DFT formation energy, eV per atom: -0.208
DOS at the Fermi energy, states/eV/cell: 4.27

Unit cell a=3.186 b=4.546 c=4.546 alpha=90.00 beta=90.00 gamma=90.00
Element x y z (fractional)
Ti  0.500  0.000  0.000
Nb  0.000  0.000  0.500
Ru  0.500  0.500  0.500
Nb  0.000  0.500  0.000

***

Record 6
A geometry-optimized TiNbRu structure, computed with PBE-GGA.

## Properties
DFT formation energy, eV per atom: -0.413
DOS at the Fermi energy, states/eV/cell: 7.71

Unit cell a=6.267 b=3.130 c=10.304 alpha=90.00 beta=107.64 gamma=90.00
Element x y z (fractional)
Ru  0.246  0.500  0.000
Ru  0.754  0.500  0.000
Ru  0.246  0.000  0.500
Ru  0.754  0.000  0.500
Ti  0.076  0.500  0.658
Nb  0.584  0.000  0.162
Nb  0.416  0.000  0.838
Nb  0.584  0.500  0.662
Ti  0.076  0.000  0.158
Ti  0.924  0.000  0.842
Ti  0.924  0.500  0.342
Nb  0.416  0.500  0.338

***

Which of these has the highest DOS at the Fermi energy? TiNb2Ru2